# PBE K4Y3HfS8, optimized geometry
data_K4Y3HfS8
_chemical_formula_sum 'K4 Y3 Hf1 S8'
_space_group_name_H-M_alt 'P 1'
_space_group_IT_number 1
_space_group_name_Hall 'P 1'
_cell_length_a 7.9404
_cell_length_b 8.6861
_cell_length_c 7.9409
_cell_angle_alpha 117.22
_cell_angle_beta 120.00
_cell_angle_gamma 90.00
loop_
_atom_site_label
_atom_site_fract_x
_atom_site_fract_y
_atom_site_fract_z
K1 0.5000 0.0000 0.0000
K2 0.5000 0.0000 0.5000
K3 0.0000 0.0000 0.0000
K4 0.0000 0.0000 0.5000
Y1 0.5000 0.5000 0.0000
Y2 0.5000 0.5000 0.5000
Y3 0.0000 0.5000 0.5000
Hf1 0.0000 0.5000 0.0000
S1 0.2248 0.6993 0.9747
S2 0.2248 0.6994 0.4496
S3 0.2645 0.2938 0.5291
S4 0.7499 0.6993 0.9747
S5 0.2501 0.3007 0.0253
S6 0.7355 0.7062 0.4709
S7 0.7752 0.3006 0.5504
S8 0.7752 0.3007 0.0253
# Final energy ... -95.012 eV for the cell shown
# Formation energy (no corrections) ... -1.77 eV per atom
# DOS(E_F) ... 4.173 states/eV/cell
# Total moment ... 0.0 Bohr magnetons per cell
# Space group ... R-3m, No. 166

# PBE K2Y2HfS6, optimized geometry
data_K2Y2HfS6
_chemical_formula_sum 'K2 Y2 Hf1 S6'
_space_group_name_H-M_alt 'P 1'
_space_group_IT_number 1
_space_group_name_Hall 'P 1'
_cell_length_a 6.7663
_cell_length_b 6.7663
_cell_length_c 7.8824
_cell_angle_alpha 98.52
_cell_angle_beta 98.52
_cell_angle_gamma 119.52
loop_
_atom_site_label
_atom_site_fract_x
_atom_site_fract_y
_atom_site_fract_z
K1 0.8299 0.1701 0.0000
K2 0.1701 0.8299 0.0000
Y1 0.3335 0.6665 0.5000
Y2 0.6665 0.3335 0.5000
Hf1 0.0000 0.0000 0.5000
S1 0.7540 0.7540 0.6929
S2 0.0658 0.3810 0.6942
S3 0.2460 0.2460 0.3071
S4 0.3810 0.0658 0.6942
S5 0.9342 0.6190 0.3058
S6 0.6190 0.9342 0.3058
# Final energy ... -69.885 eV for the cell shown
# Formation energy (no corrections) ... -1.82 eV per atom
# DOS(E_F) ... 0.000 states/eV/cell
# Total moment ... 0.0 Bohr magnetons per cell
# Space group ... C2/m, No. 12

# PBE K3Y2HfS6, optimized geometry
data_K3Y2HfS6
_chemical_formula_sum 'K3 Y2 Hf1 S6'
_space_group_name_H-M_alt 'P 1'
_space_group_IT_number 1
_space_group_name_Hall 'P 1'
_cell_length_a 6.8222
_cell_length_b 6.8222
_cell_length_c 7.7315
_cell_angle_alpha 98.48
_cell_angle_beta 98.48
_cell_angle_gamma 120.00
loop_
_atom_site_label
_atom_site_fract_x
_atom_site_fract_y
_atom_site_fract_z
K1 0.1701 0.8299 0.5000
K2 0.8299 0.1701 0.5000
K3 0.5000 0.5000 0.5000
Y1 0.3336 0.6664 0.0000
Y2 0.6664 0.3336 0.0000
Hf1 0.0000 0.0000 0.0000
S1 0.9330 0.6171 0.7993
S2 0.7517 0.7517 0.2014
S3 0.0670 0.3829 0.2007
S4 0.6171 0.9330 0.7993
S5 0.2483 0.2483 0.7986
S6 0.3829 0.0670 0.2007
# Final energy ... -71.680 eV for the cell shown
# Formation energy (no corrections) ... -1.73 eV per atom
# DOS(E_F) ... 3.953 states/eV/cell
# Total moment ... 0.0 Bohr magnetons per cell
# Space group ... C2/m, No. 12

# PBE K2HfZnS4, optimized geometry
data_K2HfZnS4
_chemical_formula_sum 'K2 Hf1 Zn1 S4'
_space_group_name_H-M_alt 'P 1'
_space_group_IT_number 1
_space_group_name_Hall 'P 1'
_cell_length_a 6.9692
_cell_length_b 6.9685
_cell_length_c 6.8735
_cell_angle_alpha 120.47
_cell_angle_beta 120.48
_cell_angle_gamma 89.98
loop_
_atom_site_label
_atom_site_fract_x
_atom_site_fract_y
_atom_site_fract_z
K1 0.4861 0.9860 0.9721
K2 0.2360 0.2361 0.4721
Hf1 0.9859 0.4859 0.9717
Zn1 0.7359 0.7359 0.4718
S1 0.6983 0.6038 0.7111
S2 0.8678 0.4587 0.2320
S3 0.3642 0.7733 0.2321
S4 0.0129 0.1074 0.7112
# Final energy ... -39.910 eV for the cell shown
# Formation energy (no corrections) ... -1.25 eV per atom
# DOS(E_F) ... 0.000 states/eV/cell
# Total moment ... 0.0 Bohr magnetons per cell
# Space group ... I-4, No. 82